Record 1
Compound: CaZr2P
Source: Alexandria via LeMat-Bulk
Functional: PBE-GGA
Structure: relaxed

Results
The formation energy is -0.110 eV per atom. The calculation puts the final energy at -6.237 eV/atom. The value obtained for the calculated volume is 86.71 Å³/cell. Its density of states at the Fermi level is 4.6 states/eV/cell.

Cell lengths 5.723, 5.723, 5.723 Å; angles 136.81, 136.81, 62.73 degrees
Element x y z (fractional)
Ca: 0.000 0.000 0.000
Zr: 0.250 0.750 0.500
Zr: 0.750 0.250 0.500
P: 0.500 0.500 0.000


Record 2
Compound: CaLaTb4
Source: Alexandria via LeMat-Bulk
Functional: PBE-GGA
Structure: relaxed

Results
The formation energy is 0.205 eV per atom. The calculation puts the final energy at -4.037 eV/atom. The value obtained for the calculated volume is 216.16 Å³/cell. For the energy relative to the lowest polymorph listed for this composition, the calculation gives 0.1317 eV/atom. Its density of states at the Fermi level is 6.8 states/eV/cell.

Cell lengths 6.736, 6.736, 6.736 Å; angles 60.00, 60.00, 60.00 degrees
Element x y z (fractional)
Ca: 0.000 0.000 0.000
La: 0.250 0.250 0.250
Tb: 0.128 0.624 0.624
Tb: 0.624 0.128 0.624
Tb: 0.624 0.624 0.128
Tb: 0.624 0.624 0.624


Copy entry 2 word for word.
Compound: CaLaTb4
Source: Alexandria via LeMat-Bulk
Functional: PBE-GGA
Structure: relaxed

Results
The formation energy is 0.205 eV per atom. The calculation puts the final energy at -4.037 eV/atom. The value obtained for the calculated volume is 216.16 Å³/cell. For the energy relative to the lowest polymorph listed for this composition, the calculation gives 0.1317 eV/atom. Its density of states at the Fermi level is 6.8 states/eV/cell.

Cell lengths 6.736, 6.736, 6.736 Å; angles 60.00, 60.00, 60.00 degrees
Element x y z (fractional)
Ca: 0.000 0.000 0.000
La: 0.250 0.250 0.250
Tb: 0.128 0.624 0.624
Tb: 0.624 0.128 0.624
Tb: 0.624 0.624 0.128
Tb: 0.624 0.624 0.624


Q: final energy of number 2 (CaLaTb4)?
A: -4.037 eV/atom


Q: Number 1 is which compound?
A: CaZr2P


Q: Which of these has the highest final energy?
A: CaLaTb4